# 1
# Er4CuTe2Se | Alexandria via LeMat-Bulk | PBE | relaxed
# DOS at the Fermi energy: 4.75 states/eV/f.u.
# Total DFT energy (no corrections): -5.1303 eV per atom
# Calculated density: 8.51 g/cm³
data_Er4CuTe2Se
_symmetry_space_group_name_H-M 'P 1 2/m 1'
_symmetry_Int_Tables_number 10
_cell_length_a 7.3338
_cell_length_b 4.0492
_cell_length_c 7.3728
_cell_angle_alpha 90.00
_cell_angle_beta 108.06
_cell_angle_gamma 90.00
loop_
_symmetry_equiv_pos_as_xyz
'x,y,z'
'-x,-y,-z'
'-x,y,-z'
'x,-y,z'
loop_
_atom_site_label
_atom_site_fract_x
_atom_site_fract_y
_atom_site_fract_z
_atom_site_occupancy
Er1 0.2257 0.0000 0.2141 1
Er2 0.2503 0.5000 0.7782 1
Cu1 0.0000 0.5000 0.0000 1
Te1 0.0000 0.0000 0.5000 1
Te2 0.5000 0.5000 0.5000 1
Se1 0.5000 0.0000 0.0000 1


# 2
# ErCuTeSe | Alexandria via LeMat-Bulk | PBE | relaxed
# Total DFT energy (no corrections): -4.7450 eV per atom
# Calculated density: 7.20 g/cm³
data_ErCuTeSe
_symmetry_space_group_name_H-M 'R 3 m'
_symmetry_Int_Tables_number 160
_symmetry_space_group_name_Hall 'R 3 -2"'
_cell_length_a 4.0954
_cell_length_b 4.0954
_cell_length_c 20.8435
_cell_angle_alpha 90.00
_cell_angle_beta 90.00
_cell_angle_gamma 120.00
loop_
_atom_site_label
_atom_site_fract_x
_atom_site_fract_y
_atom_site_fract_z
_atom_site_occupancy
Er1 0.0000 0.0000 0.0000 1
Cu1 0.0000 0.0000 0.4523 1
Te1 0.0000 0.0000 0.5770 1
Se1 0.0000 0.0000 0.7518 1


# 3
# Er6CuTe3Se2 | Alexandria via LeMat-Bulk | PBE | relaxed
# DOS at the Fermi energy: 4.49 states/eV/f.u.
# Total DFT energy (no corrections): -5.2559 eV per atom
# Calculated density: 8.50 g/cm³
data_Er6CuTe3Se2
_symmetry_space_group_name_H-M 'C 1 2/m 1'
_symmetry_Int_Tables_number 12
_cell_length_a 7.2282
_cell_length_b 12.4851
_cell_length_c 7.3602
_cell_angle_alpha 90.00
_cell_angle_beta 108.94
_cell_angle_gamma 90.00
loop_
_symmetry_equiv_pos_as_xyz
'x,y,z'
'-x,-y,-z'
'-x,y,-z'
'x,-y,z'
'x+1/2,y+1/2,z'
'-x+1/2,-y+1/2,-z'
'-x+1/2,y+1/2,-z'
'x+1/2,-y+1/2,z'
loop_
_atom_site_label
_atom_site_fract_x
_atom_site_fract_y
_atom_site_fract_z
_atom_site_occupancy
Er1 0.2284 0.1569 0.2162 1
Er2 0.2388 0.0000 0.7770 1
Cu1 0.0000 0.0000 0.0000 1
Te1 0.0000 0.1757 0.5000 1
Te2 0.0000 0.5000 0.5000 1
Se1 0.0000 0.3353 0.0000 1


# 4
# Er2Tl3CuSe6 | Alexandria via LeMat-Bulk | PBE | relaxed
# DOS at the Fermi energy: 8.06 states/eV/f.u.
# Total DFT energy (no corrections): -4.3284 eV per atom
# Calculated density: 7.60 g/cm³
data_Er2Tl3CuSe6
_symmetry_space_group_name_H-M 'C 1 2/m 1'
_symmetry_Int_Tables_number 12
_cell_length_a 7.1907
_cell_length_b 12.0855
_cell_length_c 7.9316
_cell_angle_alpha 90.00
_cell_angle_beta 109.61
_cell_angle_gamma 90.00
loop_
_symmetry_equiv_pos_as_xyz
'x,y,z'
'-x,-y,-z'
'-x,y,-z'
'x,-y,z'
'x+1/2,y+1/2,z'
'-x+1/2,-y+1/2,-z'
'-x+1/2,y+1/2,-z'
'x+1/2,-y+1/2,z'
loop_
_atom_site_label
_atom_site_fract_x
_atom_site_fract_y
_atom_site_fract_z
_atom_site_occupancy
Er1 0.0000 0.1625 0.0000 1
Tl1 0.0000 0.0000 0.5000 1
Tl2 0.0000 0.3184 0.5000 1
Cu1 0.0000 0.5000 0.0000 1
Se1 0.2162 0.3477 0.1881 1
Se2 0.2350 0.0000 0.2331 1


# 5
# ErTl2Cu2Se4 | Alexandria via LeMat-Bulk | PBE | relaxed
# DOS at the Fermi energy: 4.26 states/eV/f.u.
# Total DFT energy (no corrections): -4.2334 eV per atom
# Calculated density: 7.50 g/cm³
data_ErTl2Cu2Se4
_symmetry_space_group_name_H-M 'C 1 2/m 1'
_symmetry_Int_Tables_number 12
_cell_length_a 14.8473
_cell_length_b 3.9795
_cell_length_c 8.0330
_cell_angle_alpha 90.00
_cell_angle_beta 108.19
_cell_angle_gamma 90.00
loop_
_symmetry_equiv_pos_as_xyz
'x,y,z'
'-x,-y,-z'
'-x,y,-z'
'x,-y,z'
'x+1/2,y+1/2,z'
'-x+1/2,-y+1/2,-z'
'-x+1/2,y+1/2,-z'
'x+1/2,-y+1/2,z'
loop_
_atom_site_label
_atom_site_fract_x
_atom_site_fract_y
_atom_site_fract_z
_atom_site_occupancy
Er1 0.0000 0.0000 0.0000 1
Tl1 0.1325 0.0000 0.5596 1
Cu1 0.1831 0.5000 0.9898 1
Se1 0.0243 0.5000 0.7659 1
Se2 0.2010 0.0000 0.1794 1


# 6
# Er2TlCuSe4 | Alexandria via LeMat-Bulk | PBE | relaxed
# Total DFT energy (no corrections): -4.9927 eV per atom
# Calculated density: 7.42 g/cm³
data_Er2TlCuSe4
_symmetry_space_group_name_H-M 'C m c m'
_symmetry_Int_Tables_number 63
_symmetry_space_group_name_Hall '-C 2c 2'
_cell_length_a 4.0838
_cell_length_b 14.0407
_cell_length_c 14.3361
_cell_angle_alpha 90.00
_cell_angle_beta 90.00
_cell_angle_gamma 90.00
loop_
_atom_site_label
_atom_site_fract_x
_atom_site_fract_y
_atom_site_fract_z
_atom_site_occupancy
Er1 0.0000 0.1333 0.0653 1
Tl1 0.0000 0.3862 0.2500 1
Cu1 0.0000 0.3373 0.7500 1
Se1 0.0000 0.0647 0.2500 1
Se2 0.0000 0.2357 0.6096 1
Se3 0.0000 0.5000 0.0000 1


# 7
# ErTm2CuSe5 | Alexandria via LeMat-Bulk | PBE | relaxed
# DOS at the Fermi energy: 0.10 states/eV/f.u.
# Total DFT energy (no corrections): -5.3773 eV per atom
# Calculated density: 7.85 g/cm³
data_ErTm2CuSe5
_symmetry_space_group_name_H-M 'C m c 21'
_symmetry_Int_Tables_number 36
_cell_length_a 3.9445
_cell_length_b 17.3390
_cell_length_c 11.9145
_cell_angle_alpha 90.00
_cell_angle_beta 90.00
_cell_angle_gamma 90.00
loop_
_symmetry_equiv_pos_as_xyz
'x,y,z'
'-x,-y,z+1/2'
'-x,y,z'
'x,-y,z+1/2'
'x+1/2,y+1/2,z'
'-x+1/2,-y+1/2,z+1/2'
'-x+1/2,y+1/2,z'
'x+1/2,-y+1/2,z+1/2'
loop_
_atom_site_label
_atom_site_fract_x
_atom_site_fract_y
_atom_site_fract_z
_atom_site_occupancy
Er1 0.0000 0.1922 0.0000 1
Tm1 0.0000 0.1074 0.6735 1
Tm2 0.0000 0.1213 0.2947 1
Cu1 0.0000 0.4359 0.4474 1
Se1 0.0000 0.0408 0.0580 1
Se2 0.0000 0.2882 0.6677 1
Se3 0.0000 0.3157 0.3307 1
Se4 0.0000 0.3572 0.9907 1
Se5 0.0000 0.4977 0.7714 1


# 8
# Er2TmCuSe5 | Alexandria via LeMat-Bulk | PBE | relaxed
# DOS at the Fermi energy: 0.08 states/eV/f.u.
# Total DFT energy (no corrections): -5.4049 eV per atom
# Calculated density: 7.83 g/cm³
data_Er2TmCuSe5
_symmetry_space_group_name_H-M 'C m c 21'
_symmetry_Int_Tables_number 36
_cell_length_a 3.9526
_cell_length_b 17.2923
_cell_length_c 11.9380
_cell_angle_alpha 90.00
_cell_angle_beta 90.00
_cell_angle_gamma 90.00
loop_
_symmetry_equiv_pos_as_xyz
'x,y,z'
'-x,-y,z+1/2'
'-x,y,z'
'x,-y,z+1/2'
'x+1/2,y+1/2,z'
'-x+1/2,-y+1/2,z+1/2'
'-x+1/2,y+1/2,z'
'x+1/2,-y+1/2,z+1/2'
loop_
_atom_site_label
_atom_site_fract_x
_atom_site_fract_y
_atom_site_fract_z
_atom_site_occupancy
Er1 0.0000 0.1078 0.0000 1
Er2 0.0000 0.1222 0.6211 1
Tm1 0.0000 0.1924 0.3260 1
Cu1 0.0000 0.4358 0.7731 1
Se1 0.0000 0.0413 0.3834 1
Se2 0.0000 0.2876 0.9918 1
Se3 0.0000 0.3141 0.6580 1
Se4 0.0000 0.3569 0.3164 1
Se5 0.0000 0.4980 0.0972 1